Below is a relaxed Na5Gd3I12 crystal, with properties calculated at the PBE level.

Values from the calculation:
V: 40.097 Å³/atom
Formation energy without anion corrections: -1131.8 meV/atom
Space-group type: No. 230
Total energy: -360.3 eV/cell
DOS(E_F): 1.011 states/eV/atom

Geometry as POSCAR:
```
Na5Gd3I12
1.0
-7.0566 -9.7981 10.6372
15.0081 -5.0700 -2.8284
0.4181 14.9516 5.9350
Gd Na I
12 20 48
Direct
0.7500 0.3750 0.1250
0.8750 0.7500 0.1250
0.3750 0.7500 0.6250
0.2500 0.1250 0.3750
0.8750 0.1250 0.2500
0.3750 0.6250 0.2500
0.6250 0.3750 0.7500
0.1250 0.8750 0.7500
0.7500 0.8750 0.6250
0.6250 0.2500 0.3750
0.1250 0.2500 0.8750
0.2500 0.6250 0.8750
0.1250 0.3750 0.2500
0.0000 0.5000 0.0000
0.0000 0.0000 0.0000
0.3750 0.2500 0.1250
0.5000 0.0000 0.5000
0.5000 0.5000 0.0000
0.1250 0.7500 0.3750
0.7500 0.1250 0.8750
0.7500 0.6250 0.3750
0.3750 0.1250 0.7500
0.6250 0.8750 0.2500
0.5000 0.5000 0.5000
0.5000 0.0000 0.0000
0.0000 0.0000 0.5000
0.2500 0.3750 0.6250
0.2500 0.8750 0.1250
0.0000 0.5000 0.5000
0.8750 0.2500 0.6250
0.6250 0.7500 0.8750
0.8750 0.6250 0.7500
0.7248 0.1298 0.0498
0.3250 0.5498 0.4200
0.9502 0.3702 0.2752
0.5498 0.2248 0.1298
0.5950 0.7248 0.6750
0.9502 0.5800 0.1750
0.3250 0.7752 0.4050
0.0800 0.9050 0.1298
0.5800 0.9502 0.6750
0.7248 0.5950 0.1750
0.7752 0.4502 0.3702
0.8250 0.9200 0.0498
0.1298 0.7248 0.5498
0.3702 0.4200 0.0950
0.0950 0.9200 0.3702
0.4050 0.1298 0.5800
0.0950 0.1750 0.2248
0.4502 0.6750 0.0800
0.8250 0.9050 0.2752
0.1298 0.4050 0.0800
0.3702 0.9502 0.7752
0.5800 0.6298 0.4050
0.9200 0.8250 0.5498
0.7752 0.3250 0.9050
0.4200 0.3702 0.5950
0.0800 0.1750 0.4502
0.2248 0.6750 0.0950
0.1750 0.0950 0.7248
0.6298 0.0498 0.2248
0.8702 0.5950 0.9200
0.5498 0.3250 0.9200
0.5950 0.8702 0.4200
0.9050 0.8250 0.7752
0.9050 0.0800 0.6298
0.8702 0.2752 0.4502
0.1750 0.0800 0.9502
0.6298 0.5800 0.9050
0.4200 0.0498 0.3250
0.2752 0.4050 0.8250
0.2248 0.5498 0.6298
0.9200 0.0950 0.8702
0.6750 0.2248 0.5950
0.4502 0.7752 0.8702
0.0498 0.4200 0.8250
0.4050 0.2752 0.3250
0.0498 0.6298 0.7248
0.6750 0.4502 0.5800
0.2752 0.8702 0.9502
```

=====

Below is a relaxed Re2RhSe crystal, with properties calculated at the PBE level.

Values from the calculation:
V: 15.174 Å³/atom
Formation energy without anion corrections: 195.1 meV/atom
Space-group type: No. 160
Total energy: -35.0 eV/cell
DOS(E_F): 0.899 states/eV/atom

Geometry as POSCAR:
```
Re2RhSe
1.0
8.7504 0.0149 0.0088
8.2796 2.8316 0.0088
8.2796 1.3839 2.4704
Re Rh Se
2 1 1
Direct
0.0018 0.0018 0.0018
0.2505 0.2505 0.2505
0.4993 0.4993 0.4993
0.7484 0.7484 0.7484
```

=====

Below is a relaxed PrTeCl crystal, with properties calculated at the PBE level.

Values from the calculation:
V: 35.328 Å³/atom
Formation energy without anion corrections: -1779.0 meV/atom
Space-group type: No. 11
Total energy: -30.2 eV/cell
DOS(E_F): 0.004 states/eV/atom
Energy relative to the lowest polymorph listed for this composition: 58 meV per atom

Geometry as POSCAR:
```
PrTeCl
1.0
-1.6529 3.7142 0.6901
-3.2889 -0.8672 -3.2065
-6.4793 -4.3187 7.7650
Pr Te Cl
2 2 2
Direct
0.0149 0.9478 0.9711
0.5142 0.4446 0.3645
0.0144 0.9453 0.2735
0.5147 0.4471 0.0621
0.0140 0.4436 0.5385
0.5151 0.9489 0.7971
```

=====

Below is a relaxed Sr2LiP crystal, with properties calculated at the PBE level.

Values from the calculation:
V: 30.782 Å³/atom
Energy relative to the elements: -0.34 eV/atom
Space-group type: No. 35
Total energy: -12.0 eV/cell
DOS(E_F): 0.633 states/eV/atom

Geometry as POSCAR:
```
Sr2LiP
1.0
4.0287 0.0555 0.0000
-0.0619 4.0286 0.0000
0.0000 0.0000 7.5847
Li P Sr
1 1 2
Direct
0.0000 0.0000 0.5524
0.5000 0.5000 0.7162
0.0000 0.0000 0.9052
0.5000 0.5000 0.3263
```

=====

Below is a relaxed TbPr2Sm2Y2 crystal, with properties calculated at the PBE level.

Values from the calculation:
V: 33.788 Å³/atom
Energy relative to the elements: 0.02 eV/atom
Space-group type: No. 12
Total energy: -36.4 eV/cell
DOS(E_F): 1.468 states/eV/atom

Geometry as POSCAR:
```
TbPr2Sm2Y2
1.0
5.1336 0.0000 0.0000
-2.5668 5.7324 0.2877
0.0000 -1.5576 7.9591
Tb Pr Sm Y
1 2 2 2
Direct
0.0000 0.0000 0.0000
0.1425 0.2849 0.4270
0.8575 0.7151 0.5730
0.5707 0.1414 0.7176
0.4293 0.8586 0.2824
0.7146 0.4292 0.1400
0.2854 0.5708 0.8600
```

=====

Below is a relaxed ThTc2H8 crystal, with properties calculated at the PBE level.

Values from the calculation:
V: 8.123 Å³/atom
Space-group type: No. 8
Total energy: -56.7 eV/cell
DOS(E_F): 0.056 states/eV/atom

Geometry as POSCAR:
```
ThTc2H8
1.0
-0.1441 -3.0061 3.4738
3.3104 -2.6702 -1.9810
1.3755 3.2654 3.0753
Th Tc H
1 2 8
Direct
0.0944 0.0983 0.0983
0.5755 0.6454 0.3281
0.5755 0.3281 0.6454
0.3152 0.0558 0.6119
0.3152 0.6119 0.0558
0.8293 0.6193 0.6193
0.8985 0.1307 0.6338
0.8985 0.6338 0.1307
0.2799 0.5811 0.5811
0.6093 0.2548 0.0068
0.6093 0.0068 0.2548
```